No. 1
Computed, not measured: a crystal of In2ReW relaxed with PBEsol at the SCAN level of DFT.

Summary:
E above lowest polymorph in eV/atom: 0.244
ΔE_f in eV per atom: 0.80

abc: 3.986 3.986 4.398
angles: 90.00 90.00 90.00
Fractional coordinates of all 4 atoms:
In 0.000 0.500 0.000
In 0.500 0.000 0.000
Re 0.000 0.000 0.500
W 0.500 0.500 0.500

No. 2
Computed, not measured: a crystal of KCuAs2Se relaxed with PBEsol at the SCAN level of DFT.

Summary:
Formation energy from raw total energies in eV per atom: 0.078

abc: 4.698 4.698 5.137
angles: 90.00 90.00 90.00
Fractional coordinates of all 5 atoms:
K 0.000 0.000 0.000
Cu 0.500 0.500 0.500
As 0.000 0.500 0.500
As 0.500 0.000 0.500
Se 0.500 0.500 0.000

No. 3
Computed, not measured: a crystal of LiTcSb relaxed with PBEsol at the SCAN level of DFT.

Summary:
Formation energy from raw total energies in eV per atom: 0.391
E above lowest polymorph in eV/atom: 0.267

abc: 7.086 6.860 2.960
angles: 82.06 73.50 24.44
Fractional coordinates of all 3 atoms:
Li 0.000 0.000 0.000
Tc 0.658 0.658 0.342
Sb 0.309 0.309 0.691